[1]
Below is crystalline FeSbTe2Pt at its relaxed geometry, with properties calculated at the PBE level.

Summary:
Total energy ... -4.3420 eV/atom
Magnetic moment ... 0.17 μB/atom
Raw formation energy ... 639.8 meV/atom

The structure in extended XYZ format:
```
5
Lattice="4.956 0.000 0.000 0.000 4.956 0.000 0.000 0.000 4.766" Properties=species:S:1:pos:R:3 pbc="T T T"
Te 0.000 2.478 0.000
Te 2.478 0.000 0.000
Sb 0.000 0.000 2.383
Pt 2.478 2.478 2.383
Fe 0.000 0.000 0.000
```

=====

[2]
Below is crystalline Ta3Au at its relaxed geometry, with properties calculated at the PBE level.

Summary:
Total energy ... -9.5308 eV/atom
Formation enthalpy at 0 K ... 0.18 eV per atom
Magnetic moment ... 0.00 μB/atom

The structure in extended XYZ format:
```
4
Lattice="-7.585 6.649 -0.464 -7.213 6.234 -3.328 -8.903 4.413 -1.797" Properties=species:S:1:pos:R:3 pbc="T T T"
Ta -17.727 12.937 -4.181
Ta -5.974 4.359 -1.409
Ta -11.851 8.648 -2.795
Au 0.000 0.000 0.000
```

=====

[3]
Below is crystalline Hf3NbTe at its relaxed geometry, with properties calculated at the PBE level.

Summary:
Total energy ... -8.7189 eV/atom
Magnetic moment ... 0.00 μB/atom
Raw formation energy ... -104.6 meV/atom

The structure in extended XYZ format:
```
10
Lattice="3.810 0.000 0.000 0.000 7.258 1.359 0.000 -0.551 8.209" Properties=species:S:1:pos:R:3 pbc="T T T"
Nb 2.857 4.173 6.958
Nb 0.952 2.534 2.609
Hf 2.857 0.778 3.599
Hf 0.953 4.255 9.102
Hf 0.952 2.422 5.688
Hf 2.857 4.285 3.880
Hf 2.857 2.453 0.466
Hf 0.952 5.929 5.969
Te 0.953 6.812 3.066
Te 2.857 -0.105 6.502
```

=====

For reference, Fermi-level density of states by record: 4.524, 6.409, 3.810 states/eV/f.u..